# PBE Li2ReCl, optimized geometry
# Energy above the most stable polymorph in this dataset in meV per atom: 808
# Theoretical density in g cm⁻³: 6.35
# DFT total energy in eV per atom: -3.96
# Energy relative to the elements, uncorrected in meV per atom: 573
data_Li2ReCl
_chemical_formula_sum 'Li8 Re4 Cl4'
_space_group_name_H-M_alt 'I -4 2 d'
_space_group_IT_number 122
_space_group_name_Hall 'I -4 2bw'
_cell_length_a 7.024
_cell_length_b 7.024
_cell_length_c 4.995
_cell_angle_alpha 90.00
_cell_angle_beta 90.00
_cell_angle_gamma 90.00
loop_
_atom_site_label
_atom_site_type_symbol
_atom_site_fract_x
_atom_site_fract_y
_atom_site_fract_z
_atom_site_occupancy
Li1 Li 0.200 0.250 0.125 1
Re1 Re 0.000 0.000 0.500 1
Cl1 Cl 0.000 0.000 0.000 1

# PBE Li2ReCl, optimized geometry
# Energy above the most stable polymorph in this dataset in meV per atom: 837
# Theoretical density in g cm⁻³: 6.18
# DFT total energy in eV per atom: -3.93
# Energy relative to the elements, uncorrected in meV per atom: 602
data_Li2ReCl
_chemical_formula_sum 'Li4 Re2 Cl2'
_space_group_name_H-M_alt 'I -4 m 2'
_space_group_IT_number 119
_space_group_name_Hall 'I -4 -2'
_cell_length_a 3.566
_cell_length_b 3.566
_cell_length_c 9.954
_cell_angle_alpha 90.00
_cell_angle_beta 90.00
_cell_angle_gamma 90.00
loop_
_atom_site_label
_atom_site_type_symbol
_atom_site_fract_x
_atom_site_fract_y
_atom_site_fract_z
_atom_site_occupancy
Li1 Li 0.000 0.000 0.000 1
Li2 Li 0.000 0.500 0.250 1
Re1 Re 0.000 0.500 0.750 1
Cl1 Cl 0.000 0.000 0.500 1

# PBE LiRe2Cl, optimized geometry
# Energy above the most stable polymorph in this dataset in meV per atom: 1368
# Theoretical density in g cm⁻³: 12.52
# DFT total energy in eV per atom: -5.85
# Energy relative to the elements, uncorrected in meV per atom: 1317
data_LiRe2Cl
_chemical_formula_sum 'Li1 Re2 Cl1'
_space_group_name_H-M_alt 'P 4/m m m'
_space_group_IT_number 123
_space_group_name_Hall '-P 4 2'
_cell_length_a 4.484
_cell_length_b 4.484
_cell_length_c 2.735
_cell_angle_alpha 90.00
_cell_angle_beta 90.00
_cell_angle_gamma 90.00
loop_
_atom_site_label
_atom_site_type_symbol
_atom_site_fract_x
_atom_site_fract_y
_atom_site_fract_z
_atom_site_occupancy
Li1 Li 0.000 0.000 0.000 1
Re1 Re 0.000 0.500 0.500 1
Cl1 Cl 0.500 0.500 0.000 1

# PBE LiRe2Cl, optimized geometry
# Energy above the most stable polymorph in this dataset in meV per atom: 918
# Theoretical density in g cm⁻³: 11.20
# DFT total energy in eV per atom: -6.30
# Energy relative to the elements, uncorrected in meV per atom: 867
data_LiRe2Cl
_chemical_formula_sum 'Li2 Re4 Cl2'
_space_group_name_H-M_alt 'C m m m'
_space_group_IT_number 65
_space_group_name_Hall '-C 2 2'
_cell_length_a 2.814
_cell_length_b 4.707
_cell_length_c 9.283
_cell_angle_alpha 90.00
_cell_angle_beta 90.00
_cell_angle_gamma 90.00
loop_
_atom_site_label
_atom_site_type_symbol
_atom_site_fract_x
_atom_site_fract_y
_atom_site_fract_z
_atom_site_occupancy
Li1 Li 0.000 0.000 0.000 1
Re1 Re 0.000 0.500 0.256 1
Cl1 Cl 0.000 0.000 0.500 1

# PBE LiReSCl2, optimized geometry
# Energy above the most stable polymorph in this dataset in meV per atom: 848
# Theoretical density in g cm⁻³: 4.85
# DFT total energy in eV per atom: -3.86
# Energy relative to the elements, uncorrected in meV per atom: 576
data_LiReSCl2
_chemical_formula_sum 'Li1 Re1 S1 Cl2'
_space_group_name_H-M_alt 'P 4/m m m'
_space_group_IT_number 123
_space_group_name_Hall '-P 4 2'
_cell_length_a 4.188
_cell_length_b 4.188
_cell_length_c 5.786
_cell_angle_alpha 90.00
_cell_angle_beta 90.00
_cell_angle_gamma 90.00
loop_
_atom_site_label
_atom_site_type_symbol
_atom_site_fract_x
_atom_site_fract_y
_atom_site_fract_z
_atom_site_occupancy
Li1 Li 0.000 0.000 0.000 1
Re1 Re 0.500 0.500 0.500 1
S1 S 0.000 0.000 0.500 1
Cl1 Cl 0.000 0.500 0.000 1

# PBE LiReSCl2, optimized geometry
# Energy above the most stable polymorph in this dataset in meV per atom: 0
# Theoretical density in g cm⁻³: 4.36
# DFT total energy in eV per atom: -4.71
# Energy relative to the elements, uncorrected in meV per atom: -272
data_LiReSCl2
_chemical_formula_sum 'Li1 Re1 S1 Cl2'
_space_group_name_H-M_alt 'P 4/m m m'
_space_group_IT_number 123
_space_group_name_Hall '-P 4 2'
_cell_length_a 5.026
_cell_length_b 5.026
_cell_length_c 4.467
_cell_angle_alpha 90.00
_cell_angle_beta 90.00
_cell_angle_gamma 90.00
loop_
_atom_site_label
_atom_site_type_symbol
_atom_site_fract_x
_atom_site_fract_y
_atom_site_fract_z
_atom_site_occupancy
Li1 Li 0.000 0.000 0.000 1
Re1 Re 0.500 0.500 0.500 1
S1 S 0.500 0.500 0.000 1
Cl1 Cl 0.000 0.500 0.500 1

# PBE LiTa2ReCl, optimized geometry
# Theoretical density in g cm⁻³: 7.71
# DFT total energy in eV per atom: -6.66
# Energy relative to the elements, uncorrected in meV per atom: 1328
data_LiTa2ReCl
_chemical_formula_sum 'Li1 Ta2 Re1 Cl1'
_space_group_name_H-M_alt 'P 4/m m m'
_space_group_IT_number 123
_space_group_name_Hall '-P 4 2'
_cell_length_a 4.867
_cell_length_b 4.867
_cell_length_c 5.369
_cell_angle_alpha 90.00
_cell_angle_beta 90.00
_cell_angle_gamma 90.00
loop_
_atom_site_label
_atom_site_type_symbol
_atom_site_fract_x
_atom_site_fract_y
_atom_site_fract_z
_atom_site_occupancy
Li1 Li 0.000 0.000 0.000 1
Ta1 Ta 0.000 0.500 0.500 1
Re1 Re 0.500 0.500 0.500 1
Cl1 Cl 0.500 0.500 0.000 1

# PBE LiTlReCl6, optimized geometry
# Theoretical density in g cm⁻³: 3.90
# DFT total energy in eV per atom: -4.08
# Energy relative to the elements, uncorrected in meV per atom: -989
data_LiTlReCl6
_chemical_formula_sum 'Li2 Tl2 Re2 Cl12'
_space_group_name_H-M_alt 'P -3 1 c'
_space_group_IT_number 163
_space_group_name_Hall '-P 3 2c'
_cell_length_a 6.5266
_cell_length_b 6.5266
_cell_length_c 14.0894
_cell_angle_alpha 90.00
_cell_angle_beta 90.00
_cell_angle_gamma 120.00
loop_
_atom_site_label
_atom_site_type_symbol
_atom_site_fract_x
_atom_site_fract_y
_atom_site_fract_z
_atom_site_occupancy
Li1 Li 0.3333 0.6667 0.2500 1
Tl1 Tl 0.0000 0.0000 0.0000 1
Re1 Re 0.3333 0.6667 0.7500 1
Cl1 Cl 0.0246 0.3814 0.6526 1

# PBE LiReW2Cl, optimized geometry
# Theoretical density in g cm⁻³: 8.05
# DFT total energy in eV per atom: -6.69
# Energy relative to the elements, uncorrected in meV per atom: 1735
data_LiReW2Cl
_chemical_formula_sum 'Li1 Re1 W2 Cl1'
_space_group_name_H-M_alt 'P 4/m m m'
_space_group_IT_number 123
_space_group_name_Hall '-P 4 2'
_cell_length_a 4.806
_cell_length_b 4.806
_cell_length_c 5.327
_cell_angle_alpha 90.00
_cell_angle_beta 90.00
_cell_angle_gamma 90.00
loop_
_atom_site_label
_atom_site_type_symbol
_atom_site_fract_x
_atom_site_fract_y
_atom_site_fract_z
_atom_site_occupancy
Li1 Li 0.000 0.000 0.000 1
Re1 Re 0.500 0.500 0.500 1
W1 W 0.000 0.500 0.500 1
Cl1 Cl 0.500 0.500 0.000 1

# PBE LiRhCl2, optimized geometry
# Energy above the most stable polymorph in this dataset in meV per atom: 70
# Theoretical density in g cm⁻³: 3.72
# DFT total energy in eV per atom: -3.84
# Energy relative to the elements, uncorrected in meV per atom: -602
data_LiRhCl2
_chemical_formula_sum 'Li2 Rh2 Cl4'
_space_group_name_H-M_alt 'C 1 m 1'
_space_group_IT_number 8
_cell_length_a 12.946
_cell_length_b 3.520
_cell_length_c 3.545
_cell_angle_alpha 90.00
_cell_angle_beta 90.29
_cell_angle_gamma 90.00
loop_
_space_group_symop_operation_xyz
'x,y,z'
'x,-y,z'
'x+1/2,y+1/2,z'
'x+1/2,-y+1/2,z'
loop_
_atom_site_label
_atom_site_type_symbol
_atom_site_fract_x
_atom_site_fract_y
_atom_site_fract_z
_atom_site_occupancy
Li1 Li 0.000 0.000 0.000 1
Rh1 Rh 0.170 0.500 0.509 1
Cl1 Cl 0.197 0.000 0.009 1
Cl2 Cl 0.470 0.000 0.500 1

# PBE LiRhCl2, optimized geometry
# Energy above the most stable polymorph in this dataset in meV per atom: 17
# Theoretical density in g cm⁻³: 4.02
# DFT total energy in eV per atom: -3.90
# Energy relative to the elements, uncorrected in meV per atom: -656
data_LiRhCl2
_chemical_formula_sum 'Li1 Rh1 Cl2'
_space_group_name_H-M_alt 'P 1 m 1'
_space_group_IT_number 6
_cell_length_a 3.579
_cell_length_b 5.016
_cell_length_c 4.481
_cell_angle_alpha 90.00
_cell_angle_beta 111.86
_cell_angle_gamma 90.00
loop_
_space_group_symop_operation_xyz
'x,y,z'
'x,-y,z'
loop_
_atom_site_label
_atom_site_type_symbol
_atom_site_fract_x
_atom_site_fract_y
_atom_site_fract_z
_atom_site_occupancy
Li1 Li 0.000 0.000 0.000 1
Rh1 Rh 0.288 0.500 0.641 1
Cl1 Cl 0.319 0.000 0.615 1
Cl2 Cl 0.978 0.500 0.072 1

# PBE LiRhCl4, optimized geometry
# Theoretical density in g cm⁻³: 2.44
# DFT total energy in eV per atom: -3.52
# Energy relative to the elements, uncorrected in meV per atom: -741
data_LiRhCl4
_chemical_formula_sum 'Li2 Rh2 Cl8'
_space_group_name_H-M_alt 'I -4'
_space_group_IT_number 82
_cell_length_a 6.718
_cell_length_b 6.718
_cell_length_c 7.588
_cell_angle_alpha 90.00
_cell_angle_beta 90.00
_cell_angle_gamma 90.00
loop_
_space_group_symop_operation_xyz
'x,y,z'
'y,-x,-z'
'-x,-y,z'
'-y,x,-z'
'x+1/2,y+1/2,z+1/2'
'y+1/2,-x+1/2,-z+1/2'
'-x+1/2,-y+1/2,z+1/2'
'-y+1/2,x+1/2,-z+1/2'
loop_
_atom_site_label
_atom_site_type_symbol
_atom_site_fract_x
_atom_site_fract_y
_atom_site_fract_z
_atom_site_occupancy
Li1 Li 0.000 0.000 0.000 1
Rh1 Rh 0.000 0.500 0.750 1
Cl1 Cl 0.190 0.770 0.821 1

# PBE Li4RhCl, optimized geometry
# Theoretical density in g cm⁻³: 3.04
# DFT total energy in eV per atom: -2.77
# Energy relative to the elements, uncorrected in meV per atom: 36
data_Li4RhCl
_chemical_formula_sum 'Li16 Rh4 Cl4'
_space_group_name_H-M_alt 'F -4 3 m'
_space_group_IT_number 216
_space_group_name_Hall 'F -4 2 3'
_cell_length_a 7.132
_cell_length_b 7.132
_cell_length_c 7.132
_cell_angle_alpha 90.00
_cell_angle_beta 90.00
_cell_angle_gamma 90.00
loop_
_atom_site_label
_atom_site_type_symbol
_atom_site_fract_x
_atom_site_fract_y
_atom_site_fract_z
_atom_site_occupancy
Li1 Li 0.122 0.122 0.122 1
Rh1 Rh 0.250 0.250 0.750 1
Cl1 Cl 0.000 0.000 0.500 1

# PBE Li2RhCl6, optimized geometry
# Energy above the most stable polymorph in this dataset in meV per atom: 27
# Theoretical density in g cm⁻³: 2.84
# DFT total energy in eV per atom: -3.48
# Energy relative to the elements, uncorrected in meV per atom: -1008
data_Li2RhCl6
_chemical_formula_sum 'Li4 Rh2 Cl12'
_space_group_name_H-M_alt 'P 42/m n m'
_space_group_IT_number 136
_space_group_name_Hall '-P 4n 2n'
_cell_length_a 5.893
_cell_length_b 5.893
_cell_length_c 11.091
_cell_angle_alpha 90.00
_cell_angle_beta 90.00
_cell_angle_gamma 90.00
loop_
_atom_site_label
_atom_site_type_symbol
_atom_site_fract_x
_atom_site_fract_y
_atom_site_fract_z
_atom_site_occupancy
Li1 Li 0.000 0.000 0.170 1
Rh1 Rh 0.000 0.000 0.500 1
Cl1 Cl 0.191 0.191 0.344 1
Cl2 Cl 0.219 0.219 0.000 1